1.
A geometry-optimized SmSi3Pt6 structure, computed with GGA-PBE.

Summary:
E_tot = -6.494 eV per atom

abc: 6.4585 6.4585 6.4585
angles: 58.23 58.23 58.23
Positions (direct):
Sm: 0.0000 0.0000 0.0000
Si: 0.2534 0.2534 0.2534
Si: 0.6278 0.6278 0.6278
Si: 0.8011 0.8011 0.8011
Pt: 0.0706 0.4716 0.5718
Pt: 0.2441 0.5231 0.8266
Pt: 0.4716 0.5718 0.0706
Pt: 0.5231 0.8266 0.2441
Pt: 0.5718 0.0706 0.4716
Pt: 0.8266 0.2441 0.5231

2.
A geometry-optimized SrFe2Mo structure, computed with GGA-PBE.

Summary:
polymorph energy (0 for the lowest one) = 0.0 meV/atom
calculated formation energy = 0.464 eV per atom

abc: 4.1948 4.1948 6.1192
angles: 110.13 110.13 60.03
Positions (direct):
Sr: 0.0000 0.0000 0.0000
Fe: 0.1911 0.1911 0.5732
Fe: 0.8089 0.8089 0.4268
Mo: 0.5000 0.5000 0.5000

> What is the formula in the second record?

SrFe2Mo